No. 1
! K6ZnCd (PBE, relaxed); values from VASP
! * calculated density: 1512 kg/m3
! * calculated formation energy: 0.022 eV per atom
! * total DFT energy (no corrections): -8.6 eV for the cell shown
! * SG: No. 38
&SYSTEM
  ibrav = 0, nat = 8, ntyp = 3
/
ATOMIC_SPECIES
K 39.10 K.upf
Cd 112.41 Cd.upf
Zn 65.41 Zn.upf
ATOMIC_POSITIONS angstrom
K 0.0000 2.1706 4.3885
K 2.3251 8.9895 5.5608
K 0.0000 6.5643 2.6769
K 2.3251 9.1807 -0.2468
K 2.3251 3.4297 0.5860
K 0.0000 5.3497 7.2332
Cd 0.0000 1.5455 8.2859
Zn 2.3251 2.5761 7.1342
CELL_PARAMETERS angstrom
4.6503 0.0000 0.0000
0.0000 9.8399 -0.9835
0.0000 0.1118 9.8882

***

No. 2
! MgMo2W (PBE, relaxed); values from VASP
! * calculated density: 9847 kg/m3
! * calculated formation energy: 0.327 eV per atom
! * total DFT energy (no corrections): -34.9 eV for the cell shown
! * SG: No. 123
&SYSTEM
  ibrav = 0, nat = 4, ntyp = 3
/
ATOMIC_SPECIES
Mo 95.94 Mo.upf
Mg 24.30 Mg.upf
W 183.84 W.upf
ATOMIC_POSITIONS angstrom
Mo 0.0000 0.0000 3.1717
Mo 0.0000 0.0000 0.1745
Mg 1.5875 1.5875 5.0193
W 1.5875 1.5875 1.6731
CELL_PARAMETERS angstrom
3.1749 0.0000 0.0000
0.0000 3.1749 0.0000
0.0000 0.0000 6.6924